{"formula": "BaFeCuS3", "functional": "PBE", "state": "relaxed", "lattice_angstrom": [[1.8938, -6.8069, 0.0000], [1.8938, 6.8069, 0.0000], [0.0000, 0.0000, 9.4697]], "species": ["Ba", "Ba", "Fe", "Fe", "Cu", "Cu", "S", "S", "S", "S", "S", "S"], "frac_coords": [[0.2490, 0.7510, 0.7500], [0.7510, 0.2490, 0.2500], [0.5000, 0.5000, 0.0000], [0.5000, 0.5000, 0.5000], [0.0317, 0.9683, 0.2500], [0.9683, 0.0317, 0.7500], [0.1224, 0.8776, 0.0474], [0.1224, 0.8776, 0.4526], [0.4369, 0.5631, 0.2500], [0.5631, 0.4369, 0.7500], [0.8776, 0.1224, 0.5474], [0.8776, 0.1224, 0.9526]], "volume_a3_per_cell": 244, "space_group": "Cmcm (63)", "final_energy_ev_per_atom": -5.17}